# TcMoF2, optimized geometry, DFT PBE+U
data_TcMoF2
_chemical_formula_sum 'Tc3 Mo3 F6'
_space_group_name_H-M_alt 'R -3 m'
_space_group_IT_number 166
_space_group_name_Hall '-R 3 2"'
_cell_length_a 2.8008
_cell_length_b 2.8008
_cell_length_c 24.1063
_cell_angle_alpha 90.00
_cell_angle_beta 90.00
_cell_angle_gamma 120.00
loop_
_atom_site_label
_atom_site_fract_x
_atom_site_fract_y
_atom_site_fract_z
Tc1 0.0000 0.0000 0.0000
Mo1 0.0000 0.0000 0.5000
F1 0.0000 0.0000 0.0852
# Total energy ... -5.7018 eV per atom
# Offset from the most stable computed form ... 0 meV per atom